Arrangement one

! Ce4InGe, relaxed, DFT GGA-PBE; values from VASP
&SYSTEM
  ibrav = 0, nat = 12, ntyp = 3
/
ATOMIC_SPECIES
Ce 140.12 Ce.upf
In 114.82 In.upf
Ge 72.64 Ge.upf
CELL_PARAMETERS angstrom
7.930 0.000 0.000
0.000 9.124 0.000
-3.267 0.000 3.959
ATOMIC_POSITIONS crystal
Ce 0.248 0.173 0.270
Ce 0.248 0.827 0.270
Ce 0.252 0.327 0.730
Ce 0.252 0.673 0.730
Ce 0.748 0.327 0.270
Ce 0.748 0.673 0.270
Ce 0.752 0.173 0.730
Ce 0.752 0.827 0.730
In 0.000 0.500 0.000
In 0.500 0.000 0.000
Ge 0.000 0.000 0.500
Ge 0.500 0.500 0.500
! Crystal system ... monoclinic
! Magnetic moment ... 2.3 Bohr magnetons per cell
! SG ... C2/m (12)
! Calculated density ... 8.67 Mg/m³
! Density of states at the Fermi level ... 2.408 states/eV per atom

---

Arrangement two

! Ce4InGe, relaxed, DFT GGA-PBE; values from VASP
&SYSTEM
  ibrav = 0, nat = 12, ntyp = 3
/
ATOMIC_SPECIES
Ce 140.12 Ce.upf
In 114.82 In.upf
Ge 72.64 Ge.upf
CELL_PARAMETERS angstrom
4.499 -6.382 0.000
4.499 6.382 0.000
-1.990 0.000 5.311
ATOMIC_POSITIONS crystal
Ce 0.070 0.684 0.837
Ce 0.180 0.390 0.632
Ce 0.316 0.930 0.663
Ce 0.390 0.180 0.132
Ce 0.610 0.820 0.868
Ce 0.684 0.070 0.337
Ce 0.820 0.610 0.368
Ce 0.930 0.316 0.163
In 0.384 0.616 0.250
In 0.616 0.384 0.750
Ge 0.020 0.980 0.250
Ge 0.980 0.020 0.750
! Crystal system ... monoclinic
! Magnetic moment ... 1.7 Bohr magnetons per cell
! SG ... C2/c (15)
! Calculated density ... 8.14 Mg/m³
! Density of states at the Fermi level ... 2.236 states/eV per atom

---

Relative calculated energies, zero for the most stable structure, unit kJ/mol of atoms: arrangement one 10.0; arrangement two 0.0.

---

Arrangement one

! CeZnInGe, relaxed, DFT GGA-PBE; values from VASP
&SYSTEM
  ibrav = 0, nat = 4, ntyp = 4
/
ATOMIC_SPECIES
Ce 140.12 Ce.upf
Zn 65.41 Zn.upf
In 114.82 In.upf
Ge 72.64 Ge.upf
CELL_PARAMETERS angstrom
4.212 0.000 0.000
0.000 4.391 0.000
0.000 0.000 4.789
ATOMIC_POSITIONS crystal
Ce 0.000 0.000 0.000
Zn 0.500 0.000 0.500
In 0.000 0.500 0.500
Ge 0.500 0.500 0.000
! Crystal system ... orthorhombic
! Magnetic moment ... 0.6 Bohr magnetons per cell
! SG ... Pmmm (47)
! Calculated density ... 7.37 Mg/m³
! Density of states at the Fermi level ... 1.291 states/eV per atom

---

Arrangement two

! CeZnInGe, relaxed, DFT GGA-PBE; values from VASP
&SYSTEM
  ibrav = 0, nat = 16, ntyp = 4
/
ATOMIC_SPECIES
Ce 140.12 Ce.upf
Zn 65.41 Zn.upf
In 114.82 In.upf
Ge 72.64 Ge.upf
CELL_PARAMETERS angstrom
7.061 0.000 0.000
0.000 7.061 0.000
0.000 0.000 7.061
ATOMIC_POSITIONS crystal
Ce 0.000 0.000 0.000
Ce 0.000 0.500 0.500
Ce 0.500 0.000 0.500
Ce 0.500 0.500 0.000
Zn 0.250 0.250 0.750
Zn 0.250 0.750 0.250
Zn 0.750 0.250 0.250
Zn 0.750 0.750 0.750
In 0.000 0.000 0.500
In 0.000 0.500 0.000
In 0.500 0.000 0.000
In 0.500 0.500 0.500
Ge 0.250 0.250 0.250
Ge 0.250 0.750 0.750
Ge 0.750 0.250 0.750
Ge 0.750 0.750 0.250
! Crystal system ... cubic
! Magnetic moment ... 3.5 Bohr magnetons per cell
! SG ... F-43m (216)
! Calculated density ... 7.41 Mg/m³
! Density of states at the Fermi level ... 1.303 states/eV per atom

---

Relative calculated energies, zero for the most stable structure, unit kJ/mol of atoms: arrangement one 0.0; arrangement two 12.8.

---

Arrangement one

! Ce3Ge2Ir, relaxed, DFT GGA-PBE; values from VASP
&SYSTEM
  ibrav = 0, nat = 24, ntyp = 3
/
ATOMIC_SPECIES
Ce 140.12 Ce.upf
Ge 72.64 Ge.upf
Ir 192.22 Ir.upf
CELL_PARAMETERS angstrom
11.964 0.000 0.000
0.000 4.312 0.000
0.000 0.000 11.274
ATOMIC_POSITIONS crystal
Ce 0.050 0.250 0.123
Ce 0.121 0.750 0.558
Ce 0.227 0.250 0.800
Ce 0.273 0.750 0.300
Ce 0.379 0.250 0.058
Ce 0.450 0.750 0.623
Ce 0.550 0.250 0.377
Ce 0.621 0.750 0.942
Ce 0.727 0.250 0.700
Ce 0.773 0.750 0.200
Ce 0.879 0.250 0.442
Ce 0.950 0.750 0.877
Ge 0.011 0.750 0.307
Ge 0.194 0.750 0.006
Ge 0.306 0.250 0.506
Ge 0.489 0.250 0.807
Ge 0.511 0.750 0.193
Ge 0.694 0.750 0.494
Ge 0.806 0.250 0.994
Ge 0.989 0.250 0.693
Ir 0.124 0.250 0.373
Ir 0.376 0.750 0.873
Ir 0.624 0.250 0.127
Ir 0.876 0.750 0.627
! Crystal system ... orthorhombic
! Magnetic moment ... 10.2 Bohr magnetons per cell
! SG ... Pnma (62)
! Calculated density ... 8.65 Mg/m³
! Density of states at the Fermi level ... 1.806 states/eV per atom

---

Arrangement two

! Ce3Ge2Ir, relaxed, DFT GGA-PBE; values from VASP
&SYSTEM
  ibrav = 0, nat = 12, ntyp = 3
/
ATOMIC_SPECIES
Ce 140.12 Ce.upf
Ge 72.64 Ge.upf
Ir 192.22 Ir.upf
CELL_PARAMETERS angstrom
3.985 -4.557 0.000
3.985 4.557 0.000
-2.446 0.000 8.041
ATOMIC_POSITIONS crystal
Ce 0.220 0.274 0.959
Ce 0.247 0.753 0.750
Ce 0.274 0.220 0.459
Ce 0.726 0.780 0.541
Ce 0.753 0.247 0.250
Ce 0.780 0.726 0.041
Ge 0.122 0.695 0.371
Ge 0.305 0.878 0.129
Ge 0.695 0.122 0.871
Ge 0.878 0.305 0.629
Ir 0.450 0.550 0.250
Ir 0.550 0.450 0.750
! Crystal system ... monoclinic
! Magnetic moment ... 3.8 Bohr magnetons per cell
! SG ... C2/c (15)
! Calculated density ... 8.62 Mg/m³
! Density of states at the Fermi level ... 1.922 states/eV per atom

---

Relative calculated energies, zero for the most stable structure, unit kJ/mol of atoms: arrangement one 0.0; arrangement two 14.2.

---

Arrangement one

! Ce5Ge2Ir2, relaxed, DFT GGA-PBE; values from VASP
&SYSTEM
  ibrav = 0, nat = 18, ntyp = 3
/
ATOMIC_SPECIES
Ce 140.12 Ce.upf
Ge 72.64 Ge.upf
Ir 192.22 Ir.upf
CELL_PARAMETERS angstrom
-8.063 3.797 3.691
8.063 -3.797 3.691
8.063 3.797 -3.691
ATOMIC_POSITIONS crystal
Ce 0.154 0.474 0.002
Ce 0.154 0.651 0.180
Ce 0.172 0.050 0.222
Ce 0.172 0.450 0.622
Ce 0.471 0.151 0.998
Ce 0.471 0.974 0.820
Ce 0.551 0.456 0.595
Ce 0.828 0.550 0.378
Ce 0.828 0.950 0.778
Ce 0.861 0.956 0.405
Ge 0.621 0.081 0.384
Ge 0.621 0.737 0.040
Ge 0.697 0.237 0.616
Ge 0.697 0.581 0.960
Ir 0.010 0.769 0.741
Ir 0.027 0.269 0.259
Ir 0.330 0.330 0.000
Ir 0.330 0.830 0.500
! Crystal system ... orthorhombic
! Magnetic moment ... 6.3 Bohr magnetons per cell
! SG ... Ima2 (46)
! Calculated density ... 9.04 Mg/m³
! Density of states at the Fermi level ... 2.436 states/eV per atom

---

Arrangement two

! Ce5Ge2Ir2, relaxed, DFT GGA-PBE; values from VASP
&SYSTEM
  ibrav = 0, nat = 18, ntyp = 3
/
ATOMIC_SPECIES
Ce 140.12 Ce.upf
Ge 72.64 Ge.upf
Ir 192.22 Ir.upf
CELL_PARAMETERS angstrom
7.231 -3.849 0.000
7.231 3.849 0.000
0.000 0.000 7.851
ATOMIC_POSITIONS crystal
Ce 0.000 0.000 0.000
Ce 0.030 0.675 0.661
Ce 0.175 0.530 0.161
Ce 0.325 0.970 0.661
Ce 0.470 0.825 0.161
Ce 0.500 0.500 0.500
Ce 0.530 0.175 0.839
Ce 0.675 0.030 0.339
Ce 0.825 0.470 0.839
Ce 0.970 0.325 0.339
Ge 0.122 0.878 0.375
Ge 0.378 0.622 0.875
Ge 0.622 0.378 0.125
Ge 0.878 0.122 0.625
Ir 0.193 0.193 0.000
Ir 0.307 0.307 0.500
Ir 0.693 0.693 0.500
Ir 0.807 0.807 0.000
! Crystal system ... orthorhombic
! Magnetic moment ... 4.8 Bohr magnetons per cell
! SG ... Cmce (64)
! Calculated density ... 9.35 Mg/m³
! Density of states at the Fermi level ... 2.404 states/eV per atom

---

Relative calculated energies, zero for the most stable structure, unit kJ/mol of atoms: arrangement one 11.9; arrangement two 0.0.

---

Arrangement one

! Ce3Ge3Ir, relaxed, DFT GGA-PBE; values from VASP
&SYSTEM
  ibrav = 0, nat = 14, ntyp = 3
/
ATOMIC_SPECIES
Ce 140.12 Ce.upf
Ge 72.64 Ge.upf
Ir 192.22 Ir.upf
CELL_PARAMETERS angstrom
8.411 0.000 0.000
-4.205 7.284 0.000
0.000 0.000 5.746
ATOMIC_POSITIONS crystal
Ce 0.093 0.417 0.250
Ce 0.324 0.907 0.250
Ce 0.417 0.324 0.750
Ce 0.583 0.676 0.250
Ce 0.676 0.093 0.750
Ce 0.907 0.583 0.750
Ge 0.081 0.342 0.750
Ge 0.262 0.919 0.750
Ge 0.342 0.262 0.250
Ge 0.658 0.738 0.750
Ge 0.738 0.081 0.250
Ge 0.919 0.658 0.250
Ir 0.333 0.667 0.750
Ir 0.667 0.333 0.250
! Crystal system ... hexagonal
! Magnetic moment ... 0.1 Bohr magnetons per cell
! SG ... P6_3/m (176)
! Calculated density ... 7.83 Mg/m³
! Density of states at the Fermi level ... 1.631 states/eV per atom

---

Arrangement two

! Ce3Ge3Ir, relaxed, DFT GGA-PBE; values from VASP
&SYSTEM
  ibrav = 0, nat = 14, ntyp = 3
/
ATOMIC_SPECIES
Ce 140.12 Ce.upf
Ge 72.64 Ge.upf
Ir 192.22 Ir.upf
CELL_PARAMETERS angstrom
5.408 -2.168 0.000
5.408 2.168 0.000
-4.981 0.000 13.566
ATOMIC_POSITIONS crystal
Ce 0.035 0.035 0.382
Ce 0.107 0.107 0.924
Ce 0.246 0.246 0.237
Ce 0.754 0.754 0.763
Ce 0.893 0.893 0.076
Ce 0.965 0.965 0.618
Ge 0.358 0.358 0.465
Ge 0.389 0.389 0.925
Ge 0.468 0.468 0.769
Ge 0.532 0.532 0.231
Ge 0.611 0.611 0.075
Ge 0.642 0.642 0.535
Ir 0.248 0.248 0.620
Ir 0.752 0.752 0.380
! Crystal system ... monoclinic
! Magnetic moment ... 4.8 Bohr magnetons per cell
! SG ... C2/m (12)
! Calculated density ... 8.67 Mg/m³
! Density of states at the Fermi level ... 1.922 states/eV per atom

---

Relative calculated energies, zero for the most stable structure, unit kJ/mol of atoms: arrangement one 29.8; arrangement two 0.0.

---

Arrangement one

! Ce4Ge2Ir, relaxed, DFT GGA-PBE; values from VASP
&SYSTEM
  ibrav = 0, nat = 14, ntyp = 3
/
ATOMIC_SPECIES
Ce 140.12 Ce.upf
Ge 72.64 Ge.upf
Ir 192.22 Ir.upf
CELL_PARAMETERS angstrom
7.657 0.000 0.000
0.000 9.553 0.000
0.000 0.000 4.806
ATOMIC_POSITIONS crystal
Ce 0.235 0.000 0.000
Ce 0.250 0.250 0.500
Ce 0.250 0.750 0.500
Ce 0.265 0.500 0.000
Ce 0.735 0.500 0.000
Ce 0.750 0.250 0.500
Ce 0.750 0.750 0.500
Ce 0.765 0.000 0.000
Ge 0.000 0.269 0.000
Ge 0.000 0.731 0.000
Ge 0.500 0.231 0.000
Ge 0.500 0.769 0.000
Ir 0.000 0.000 0.500
Ir 0.500 0.500 0.500
! Crystal system ... orthorhombic
! Magnetic moment ... 3.6 Bohr magnetons per cell
! SG ... Cmmm (65)
! Calculated density ... 8.48 Mg/m³
! Density of states at the Fermi level ... 2.244 states/eV per atom

---

Arrangement two

! Ce4Ge2Ir, relaxed, DFT GGA-PBE; values from VASP
&SYSTEM
  ibrav = 0, nat = 14, ntyp = 3
/
ATOMIC_SPECIES
Ce 140.12 Ce.upf
Ge 72.64 Ge.upf
Ir 192.22 Ir.upf
CELL_PARAMETERS angstrom
6.644 0.000 0.000
0.000 6.361 0.000
-2.209 0.000 8.263
ATOMIC_POSITIONS crystal
Ce 0.173 0.250 0.087
Ce 0.204 0.750 0.350
Ce 0.314 0.026 0.734
Ce 0.314 0.474 0.734
Ce 0.686 0.526 0.266
Ce 0.686 0.974 0.266
Ce 0.796 0.250 0.650
Ce 0.827 0.750 0.913
Ge 0.069 0.250 0.414
Ge 0.319 0.750 0.031
Ge 0.681 0.250 0.969
Ge 0.931 0.750 0.586
Ir 0.448 0.250 0.404
Ir 0.552 0.750 0.596
! Crystal system ... monoclinic
! Magnetic moment ... 6.3 Bohr magnetons per cell
! SG ... P2_1/m (11)
! Calculated density ... 8.54 Mg/m³
! Density of states at the Fermi level ... 2.170 states/eV per atom

---

Relative calculated energies, zero for the most stable structure, unit kJ/mol of atoms: arrangement one 8.7; arrangement two 0.0.